[1]
# ZnAgAu5 | the Alexandria database | PBE-GGA | optimized geometry
# ΔE to the lowest computed polymorph (meV/atom): 424
data_ZnAgAu5
_chemical_formula_sum 'Zn2 Ag2 Au10'
_cell_length_a 5.393
_cell_length_b 9.441
_cell_length_c 7.621
_cell_angle_alpha 90.00
_cell_angle_beta 90.00
_cell_angle_gamma 90.00
_symmetry_space_group_name_H-M 'I m m 2'
_symmetry_Int_Tables_number 44
loop_
_symmetry_equiv_pos_as_xyz
'x,y,z'
'-x,-y,z'
'-x,y,z'
'x,-y,z'
'x+1/2,y+1/2,z+1/2'
'-x+1/2,-y+1/2,z+1/2'
'-x+1/2,y+1/2,z+1/2'
'x+1/2,-y+1/2,z+1/2'
loop_
_atom_site_label
_atom_site_type_symbol
_atom_site_fract_x
_atom_site_fract_y
_atom_site_fract_z
Zn1 Zn 0.000 0.000 0.000
Ag1 Ag 0.000 0.500 0.871
Au1 Au 0.000 0.252 0.680
Au2 Au 0.000 0.500 0.508
Au3 Au 0.249 0.500 0.187

[2]
# CoTePdN2 | the Alexandria database | PBE-GGA | optimized geometry
# ΔE to the lowest computed polymorph (meV/atom): 0
# E_form (uncorrected) (eV per atom): 0.987
data_CoTePdN2
_chemical_formula_sum 'Co1 Te1 Pd1 N2'
_cell_length_a 3.663
_cell_length_b 3.663
_cell_length_c 5.704
_cell_angle_alpha 90.00
_cell_angle_beta 90.00
_cell_angle_gamma 90.00
_symmetry_space_group_name_H-M 'P 4/m m m'
_symmetry_Int_Tables_number 123
_symmetry_space_group_name_Hall '-P 4 2'
loop_
_atom_site_label
_atom_site_type_symbol
_atom_site_fract_x
_atom_site_fract_y
_atom_site_fract_z
Co1 Co 0.000 0.000 0.000
Te1 Te 0.000 0.000 0.500
Pd1 Pd 0.500 0.500 0.500
N1 N 0.000 0.500 0.000

[3]
# AgSeS | the Alexandria database | PBE-GGA | optimized geometry
# ΔE to the lowest computed polymorph (meV/atom): 48
# E_form (uncorrected) (eV per atom): 0.039
data_AgSeS
_chemical_formula_sum 'Ag2 Se2 S2'
_cell_length_a 4.532
_cell_length_b 4.961
_cell_length_c 7.098
_cell_angle_alpha 74.12
_cell_angle_beta 76.66
_cell_angle_gamma 78.74
_symmetry_space_group_name_H-M 'P 1'
_symmetry_Int_Tables_number 1
loop_
_symmetry_equiv_pos_as_xyz
'x,y,z'
loop_
_atom_site_label
_atom_site_type_symbol
_atom_site_fract_x
_atom_site_fract_y
_atom_site_fract_z
Ag1 Ag 0.000 0.000 0.000
Ag2 Ag 0.210 0.393 0.232
Se1 Se 0.435 0.295 0.863
Se2 Se 0.504 0.926 0.471
S1 S 0.161 0.671 0.674
S2 S 0.674 0.668 0.234

[4]
# LiCd2SnHg5 | the Alexandria database | PBE-GGA | optimized geometry
# E_tot (eV per cell): -38.64
data_LiCd2SnHg5
_chemical_formula_sum 'Li4 Cd8 Sn4 Hg20'
_cell_length_a 3.547
_cell_length_b 17.269
_cell_length_c 14.297
_cell_angle_alpha 90.00
_cell_angle_beta 90.00
_cell_angle_gamma 90.00
_symmetry_space_group_name_H-M 'C m c 21'
_symmetry_Int_Tables_number 36
loop_
_symmetry_equiv_pos_as_xyz
'x,y,z'
'-x,-y,z+1/2'
'-x,y,z'
'x,-y,z+1/2'
'x+1/2,y+1/2,z'
'-x+1/2,-y+1/2,z+1/2'
'-x+1/2,y+1/2,z'
'x+1/2,-y+1/2,z+1/2'
loop_
_atom_site_label
_atom_site_type_symbol
_atom_site_fract_x
_atom_site_fract_y
_atom_site_fract_z
Li1 Li 0.000 0.056 0.000
Cd1 Cd 0.000 0.367 0.321
Cd2 Cd 0.000 0.395 0.966
Sn1 Sn 0.000 0.331 0.638
Hg1 Hg 0.000 0.014 0.322
Hg2 Hg 0.000 0.158 0.641
Hg3 Hg 0.000 0.192 0.312
Hg4 Hg 0.000 0.219 0.967
Hg5 Hg 0.000 0.496 0.140

[5]
# K2MnS2 | the Alexandria database | PBE-GGA | optimized geometry
# E_form (uncorrected) (eV per atom): -0.979
data_K2MnS2
_chemical_formula_sum 'K8 Mn4 S8'
_cell_length_a 6.925
_cell_length_b 12.700
_cell_length_c 6.296
_cell_angle_alpha 90.00
_cell_angle_beta 90.00
_cell_angle_gamma 90.00
_symmetry_space_group_name_H-M 'I b a m'
_symmetry_Int_Tables_number 72
_symmetry_space_group_name_Hall '-I 2 2c'
loop_
_atom_site_label
_atom_site_type_symbol
_atom_site_fract_x
_atom_site_fract_y
_atom_site_fract_z
K1 K 0.159 0.147 0.000
Mn1 Mn 0.000 0.500 0.250
S1 S 0.193 0.398 0.000

[6]
# Rb2ReRh2 | the Alexandria database | PBE-GGA | optimized geometry
# ΔE to the lowest computed polymorph (meV/atom): 0
data_Rb2ReRh2
_chemical_formula_sum 'Rb4 Re2 Rh4'
_cell_length_a 3.405
_cell_length_b 3.405
_cell_length_c 23.652
_cell_angle_alpha 90.00
_cell_angle_beta 90.00
_cell_angle_gamma 90.00
_symmetry_space_group_name_H-M 'I 4/m m m'
_symmetry_Int_Tables_number 139
_symmetry_space_group_name_Hall '-I 4 2'
loop_
_atom_site_label
_atom_site_type_symbol
_atom_site_fract_x
_atom_site_fract_y
_atom_site_fract_z
Rb1 Rb 0.000 0.000 0.117
Re1 Re 0.000 0.000 0.500
Rh1 Rh 0.000 0.500 0.250

[7]
# LiIn2Pt | the Alexandria database | PBE-GGA | optimized geometry
# ΔE to the lowest computed polymorph (meV/atom): 277
data_LiIn2Pt
_chemical_formula_sum 'Li4 In8 Pt4'
_cell_length_a 8.413
_cell_length_b 8.413
_cell_length_c 5.362
_cell_angle_alpha 90.00
_cell_angle_beta 90.00
_cell_angle_gamma 90.00
_symmetry_space_group_name_H-M 'I -4 2 d'
_symmetry_Int_Tables_number 122
_symmetry_space_group_name_Hall 'I -4 2bw'
loop_
_atom_site_label
_atom_site_type_symbol
_atom_site_fract_x
_atom_site_fract_y
_atom_site_fract_z
Li1 Li 0.000 0.000 0.000
In1 In 0.179 0.250 0.625
Pt1 Pt 0.000 0.000 0.500

[8]
# Sr2YTc | the Alexandria database | PBE-GGA | optimized geometry
# ΔE to the lowest computed polymorph (meV/atom): 499
data_Sr2YTc
_chemical_formula_sum 'Sr6 Y3 Tc3'
_cell_length_a 3.6186
_cell_length_b 3.6186
_cell_length_c 34.4946
_cell_angle_alpha 90.00
_cell_angle_beta 90.00
_cell_angle_gamma 120.00
_symmetry_space_group_name_H-M 'R -3 m'
_symmetry_Int_Tables_number 166
_symmetry_space_group_name_Hall '-R 3 2"'
loop_
_atom_site_label
_atom_site_type_symbol
_atom_site_fract_x
_atom_site_fract_y
_atom_site_fract_z
Sr1 Sr 0.0000 0.0000 0.2342
Y1 Y 0.0000 0.0000 0.0000
Tc1 Tc 0.0000 0.0000 0.5000

Number 1: volume 27.7 Å³/atom. Number 2: volume 15.3 Å³/atom. Number 3: volume 24.6 Å³/atom. Number 4: volume 24.3 Å³/atom. Number 5: volume 27.7 Å³/atom. Number 6: volume 27.4 Å³/atom. Number 7: volume 23.7 Å³/atom. Number 8: volume 32.6 Å³/atom.